First-principles (meta-GGA SCAN) data for a PBEsol-optimized structure of MgBrCl2, as listed in Alexandria via LeMat-Bulk.

Lattice parameters (Å, degrees): 6.629 6.629 6.629 129.56 100.46 100.46
Each line ends with the local moment (μB).
Element x y z (fractional)
Cl (0.868, 0.493, 0.125)  0.17
Cl (0.368, 0.875, 0.743)  0.17
Cl (0.632, 0.375, 0.507)  0.17
Cl (0.132, 0.257, 0.625)  0.17
Br (0.500, 0.750, 0.250)  0.45
Br (0.000, 0.000, 0.000)  0.45
Mg (0.500, 0.250, 0.750)  0.00
Mg (0.000, 0.500, 0.500)  0.00

The space group is No. 122. As for the density of states at the Fermi level: 2.2 states/eV/f.u. The formation energy from raw total energies is -1.1489 eV per atom.